# CaIr2Ru meta-GGA SCAN PBEsol geometry
# DOS at the Fermi energy ... 0.84 states/eV per atom
# Energy relative to the lowest polymorph listed for this composition ... 0 meV per atom
# Energy of formation from the pure elements ... 85 meV/atom
# Calculated volume ... 122.5 Å³/cell
# E ... -46.587 eV per atom
# Total magnetic moment ... 0.00 μB/cell
data_CaIr2Ru
_cell_length_a 5.606
_cell_length_b 7.982
_cell_length_c 2.737
_cell_angle_alpha 90.00
_cell_angle_beta 90.00
_cell_angle_gamma 90.00
_symmetry_space_group_name_H-M 'C m m m'
_symmetry_Int_Tables_number 65
_symmetry_space_group_name_Hall '-C 2 2'
loop_
_atom_site_label
_atom_site_type_symbol
_atom_site_fract_x
_atom_site_fract_y
_atom_site_fract_z
Ca1 Ca 0.000 0.000 0.000
Ir1 Ir 0.250 0.250 0.500
Ru1 Ru 0.000 0.500 0.000

***

# GaRhSN2 meta-GGA SCAN PBEsol geometry
# DOS at the Fermi energy ... 0.58 states/eV per atom
# ΔE_f (raw) ... 0.879 eV per atom
# Calculated volume ... 71.0 Å³/cell
# E ... -14.787 eV per atom
# Total magnetic moment ... 0.00 μB/cell
data_GaRhSN2
_cell_length_a 3.733
_cell_length_b 3.733
_cell_length_c 5.092
_cell_angle_alpha 90.00
_cell_angle_beta 90.00
_cell_angle_gamma 90.00
_symmetry_space_group_name_H-M 'P 4/m m m'
_symmetry_Int_Tables_number 123
_symmetry_space_group_name_Hall '-P 4 2'
loop_
_atom_site_label
_atom_site_type_symbol
_atom_site_fract_x
_atom_site_fract_y
_atom_site_fract_z
Ga1 Ga 0.000 0.000 0.000
Rh1 Rh 0.500 0.500 0.500
S1 S 0.500 0.500 0.000
N1 N 0.000 0.500 0.500

***

# BaSr3Ca2Mo2O12 meta-GGA SCAN PBEsol geometry
# DOS at the Fermi energy ... 0.00 states/eV per atom
# ΔE_f (raw) ... -2.890 eV per atom
# Calculated volume ... 847.3 Å³/cell
# E ... -16.403 eV per atom
# Total magnetic moment ... 0.00 μB/cell
data_BaSr3Ca2Mo2O12
_cell_length_a 5.8134
_cell_length_b 5.8134
_cell_length_c 28.9485
_cell_angle_alpha 90.00
_cell_angle_beta 90.00
_cell_angle_gamma 120.00
_symmetry_space_group_name_H-M 'R 3 m'
_symmetry_Int_Tables_number 160
_symmetry_space_group_name_Hall 'R 3 -2"'
loop_
_atom_site_label
_atom_site_type_symbol
_atom_site_fract_x
_atom_site_fract_y
_atom_site_fract_z
Ba1 Ba 0.0000 0.0000 0.0000
Sr1 Sr 0.0000 0.0000 0.2415
Sr2 Sr 0.0000 0.0000 0.4951
Sr3 Sr 0.0000 0.0000 0.7474
Ca1 Ca 0.0000 0.0000 0.1258
Ca2 Ca 0.0000 0.0000 0.6257
Mo1 Mo 0.0000 0.0000 0.3771
Mo2 Mo 0.0000 0.0000 0.8765
O1 O 0.0170 0.5085 0.0086
O2 O 0.0193 0.5096 0.5066
O3 O 0.1800 0.3600 0.5823
O4 O 0.1823 0.3647 0.0845